(1)
# DyCuNiHg

DyCuNiHg after structural relaxation (PBE, Alexandria).

Its formation enthalpy at 0 K is -0.2010 eV per atom. Its spin magnetization is 0.000 μB per cell.

Lattice parameters (Å, degrees): 4.644 4.644 4.644 60.00 60.00 60.00
Element x y z (fractional)
1 Dy 0.000 0.000 0.000
2 Cu 0.250 0.250 0.250
3 Ni 0.750 0.750 0.750
4 Hg 0.500 0.500 0.500


(2)
# Dy2CuHgO5

Dy2CuHgO5 after structural relaxation (PBE, Alexandria).

The uncorrected formation energy is -2.0000 eV per atom. Its spin magnetization is 0.676 μB per cell.

Lattice parameters (Å, degrees): 6.600 6.600 5.506 90.00 90.00 90.00
Element x y z (fractional)
1 Dy 0.174 0.326 0.000
2 Dy 0.326 0.826 0.000
3 Dy 0.674 0.174 0.000
4 Dy 0.826 0.674 0.000
5 Cu 0.000 0.500 0.500
6 Cu 0.500 0.000 0.500
7 Hg 0.000 0.000 0.500
8 Hg 0.500 0.500 0.500
9 O 0.000 0.000 0.000
10 O 0.132 0.632 0.246
11 O 0.132 0.632 0.754
12 O 0.368 0.132 0.246
13 O 0.368 0.132 0.754
14 O 0.500 0.500 0.000
15 O 0.632 0.868 0.246
16 O 0.632 0.868 0.754
17 O 0.868 0.368 0.246
18 O 0.868 0.368 0.754


(3)
# DyPaCuHg

DyPaCuHg after structural relaxation (PBE, Alexandria).

Its formation enthalpy at 0 K is 0.0700 eV per atom. Its spin magnetization is 1.583 μB per cell.

Lattice parameters (Å, degrees): 5.112 5.112 5.112 60.00 60.00 60.00
Element x y z (fractional)
1 Dy 0.000 0.000 0.000
2 Pa 0.500 0.500 0.500
3 Cu 0.750 0.750 0.750
4 Hg 0.250 0.250 0.250